No. 1
First-principles (GGA-PBEsol) data for ZrIr2Os after structural relaxation, as listed in the Alexandria database.

Cell: 4.478 4.478 4.478 Å, 60.00 60.00 60.00°
Last column: magnetic moment on the atom in μB.
Fractional coordinates of all 4 atoms:
1 Ir 0.250 0.250 0.250  0.56
2 Ir 0.750 0.750 0.750  0.56
3 Os 0.000 0.000 0.000  1.00
4 Zr 0.500 0.500 0.500  0.05

Summary:
Space group ... Fm-3m
Distance to the lowest polymorph of the same formula ... 2.48 eV/f.u.


No. 2
First-principles (GGA-PBEsol) data for SrRe3Rh after structural relaxation, as listed in the Alexandria database.

Cell: 4.732 4.732 4.732 Å, 90.00 90.00 90.00°
Fractional coordinates of all 5 atoms:
1 Re 0.500 0.000 0.000
2 Re 0.000 0.500 0.000
3 Re 0.000 0.000 0.500
4 Rh 0.000 0.000 0.000
5 Sr 0.500 0.500 0.500

Summary:
Space group ... Pm-3m
VASP energy ... -8.07 eV per atom


No. 3
First-principles (GGA-PBEsol) data for TaCoAg2 after structural relaxation, as listed in the Alexandria database.

Cell: 3.433 4.369 4.903 Å, 116.46 110.49 90.00°
Fractional coordinates of all 4 atoms:
1 Ta 0.222 0.722 0.444
2 Co 0.516 0.516 0.032
3 Ag 0.765 0.265 0.530
4 Ag 0.997 0.997 0.994

Summary:
Space group ... Imm2
Distance to the lowest polymorph of the same formula ... 0.00 eV/f.u.


No. 4
First-principles (GGA-PBEsol) data for Ho2Ge2O7 after structural relaxation, as listed in the Alexandria database.

Cell: 6.766 6.766 12.314 Å, 90.00 90.00 90.00°
Fractional coordinates of all 44 atoms:
1 O 0.034 0.922 0.878
2 O 0.320 0.855 0.044
3 O 0.466 0.422 0.372
4 O 0.066 0.338 0.571
5 O 0.338 0.066 0.429
6 O 0.198 0.802 0.250
7 O 0.434 0.838 0.679
8 O 0.838 0.434 0.321
9 O 0.302 0.302 0.000
10 O 0.855 0.320 0.956
11 O 0.078 0.966 0.622
12 O 0.698 0.698 0.500
13 O 0.180 0.355 0.206
14 O 0.934 0.662 0.071
15 O 0.422 0.466 0.628
16 O 0.162 0.566 0.821
17 O 0.534 0.578 0.872
18 O 0.966 0.078 0.378
19 O 0.145 0.680 0.456
20 O 0.922 0.034 0.122
21 O 0.820 0.645 0.706
22 O 0.355 0.180 0.794
23 O 0.566 0.162 0.179
24 O 0.802 0.198 0.750
25 O 0.662 0.934 0.929
26 O 0.578 0.534 0.128
27 O 0.645 0.820 0.294
28 O 0.680 0.145 0.544
29 Ho 0.854 0.627 0.886
30 Ho 0.354 0.873 0.864
31 Ho 0.627 0.854 0.114
32 Ho 0.646 0.127 0.364
33 Ho 0.873 0.354 0.136
34 Ho 0.146 0.373 0.386
35 Ho 0.127 0.646 0.636
36 Ho 0.373 0.146 0.614
37 Ge 0.652 0.601 0.368
38 Ge 0.601 0.652 0.632
39 Ge 0.399 0.348 0.132
40 Ge 0.101 0.848 0.118
41 Ge 0.152 0.899 0.382
42 Ge 0.348 0.399 0.868
43 Ge 0.848 0.101 0.882
44 Ge 0.899 0.152 0.618

Summary:
Space group ... P4_12_12
Distance to the lowest polymorph of the same formula ... 0.41 eV/f.u.
Formation energy (no corrections) ... -2670.6 meV/atom


no.,magnetization (μB per cell),N(E_F) (states/eV/cell)
1,2.25,7.23
2,0.00,8.06
3,0.00,2.01
4,0.00,0.00